Record 1
NaCaF2 | PBE | optimized geometry

Computed properties:
Fermi-level density of states = 2.84 states/eV/cell
Density = 1.87 Mg/m³
Formation energy without anion corrections = -10.6 eV/f.u.

Cell: 5.6361 5.6361 11.2835 Å, 90.00 90.00 90.00°
Last column: nearest neighbours and their distance in Å.
Space group I-42d (No. 122)
Symmetry-distinct sites (fractional):
Na 0.0000 0.0000 0.0000 (multiplicity 4)  4 F 2.70
Ca 0.0000 0.0000 0.5000 (multiplicity 4)  4 F 2.23
F 0.1772 0.2500 0.6250 (multiplicity 8)  2 Ca 2.23


Record 2
Na2Ca2F7 | PBE | optimized geometry

Computed properties:
Fermi-level density of states = 6.81 states/eV/cell
Density = 2.71 Mg/m³
Formation energy without anion corrections = -34.1 eV/f.u.

Cell: 4.0087 4.0087 9.8886 Å, 90.00 90.00 90.00°
Last column: nearest neighbours and their distance in Å.
Space group P-4m2 (No. 115)
Symmetry-distinct sites (fractional):
Na 0.0000 0.5000 0.1268 (multiplicity 2)  6 F 2.24-2.36
Ca 0.0000 0.5000 0.6393 (multiplicity 2)  8 F 2.35-2.43
F 0.0000 0.0000 0.2284 (multiplicity 2)  2 Na 2.24, 2 Ca 2.39
F 0.0000 0.0000 0.5000 (multiplicity 1)  4 Ca 2.43, 2 F 2.69
F 0.5000 0.5000 0.0000 (multiplicity 1)  2 F 2.34, 4 Na 2.36
F 0.5000 0.5000 0.2368 (multiplicity 2)  2 Na 2.28, 1 F 2.34, 2 Ca 2.35
F 0.5000 0.5000 0.5000 (multiplicity 1)  4 Ca 2.43, 2 F 2.60


Record 3
Na2Ca2F | PBE | optimized geometry

Computed properties:
Fermi-level density of states = 7.79 states/eV/cell
Density = 1.50 Mg/m³
Formation energy without anion corrections = -4.6 eV/f.u.

Cell: 6.8523 6.8523 6.8497 Å, 90.00 90.00 90.00°
Last column: nearest neighbours and their distance in Å.
Space group P4/mbm (No. 127)
Symmetry-distinct sites (fractional):
Na 0.1634 0.3366 0.0000 (multiplicity 4)  1 Na 3.17
Ca 0.1956 0.6956 0.5000 (multiplicity 4)  2 F 2.48
F 0.0000 0.0000 0.5000 (multiplicity 2)  4 Ca 2.48


Record 4
Na2CaF | PBE | optimized geometry

Computed properties:
Fermi-level density of states = 16.96 states/eV/cell
Density = 1.44 Mg/m³
Formation energy without anion corrections = -1.8 eV/f.u.

Cell: 7.8626 7.8626 7.8626 Å, 90.00 90.00 90.00°
Last column: nearest neighbours and their distance in Å.
Space group Fm-3m (No. 225)
Symmetry-distinct sites (fractional):
Na 0.2500 0.2500 0.2500 (multiplicity 8)  4 F 3.40, 4 Ca 3.40
Ca 0.0000 0.0000 0.0000 (multiplicity 4)  8 Na 3.40
F 0.0000 0.0000 0.5000 (multiplicity 4)  8 Na 3.40


Record 5
NaCaF2 | PBE | optimized geometry

Computed properties:
Fermi-level density of states = 1.91 states/eV/cell
Density = 2.05 Mg/m³
Formation energy without anion corrections = -11.3 eV/f.u.

Cell: 3.7225 3.7225 20.4302 Å, 90.00 90.00 120.00°
Last column: nearest neighbours and their distance in Å.
Space group R-3m (No. 166, hexagonal axes)
Symmetry-distinct sites (fractional):
Na 0.0000 0.0000 0.0000 (multiplicity 3)  2 F 2.49
Ca 0.0000 0.0000 0.5000 (multiplicity 3)  6 F 2.34
F 0.0000 0.0000 0.1218 (multiplicity 6)  3 Ca 2.34, 1 Na 2.49


Record 6
NaCaF | PBE | optimized geometry

Computed properties:
Fermi-level density of states = 3.50 states/eV/cell
Density = 1.67 Mg/m³
Formation energy without anion corrections = -5.0 eV/f.u.

Cell: 3.3953 3.3953 14.1783 Å, 90.00 90.00 90.00°
Last column: nearest neighbours and their distance in Å.
Space group I4mm (No. 107)
Symmetry-distinct sites (fractional):
Na 0.0000 0.0000 0.0000 (multiplicity 2)  1 F 3.38, 4 Na 3.40
Ca 0.0000 0.0000 0.7307 (multiplicity 2)  4 F 2.40
F 0.0000 0.0000 0.2385 (multiplicity 2)  4 Ca 2.40


Record 7
NaCaF2 | PBE | optimized geometry

Computed properties:
Fermi-level density of states = 0.47 states/eV/cell
Density = 2.04 Mg/m³
Formation energy without anion corrections = -10.0 eV/f.u.

Cell: 3.0528 3.0528 8.8071 Å, 90.00 90.00 90.00°
Last column: nearest neighbours and their distance in Å.
Space group P4/mmm (No. 123)
Symmetry-distinct sites (fractional):
Na 0.0000 0.0000 0.0000 (multiplicity 1)  4 Na 3.05
Ca 0.0000 0.0000 0.5000 (multiplicity 1)  8 F 2.46
F 0.5000 0.5000 0.3660 (multiplicity 2)  1 F 2.36, 4 Ca 2.46


Record 8
Na6CaF8 | PBE | optimized geometry

Computed properties:
Fermi-level density of states = 0.00 states/eV/cell
Density = 2.54 Mg/m³
Formation energy without anion corrections = -43.9 eV/f.u.

Cell: 9.5247 9.5247 9.5247 Å, 90.00 90.00 90.00°
Last column: nearest neighbours and their distance in Å.
Space group Fm-3m (No. 225)
Symmetry-distinct sites (fractional):
Na 0.0000 0.2500 0.2500 (multiplicity 24)  6 F 2.38-2.39
Ca 0.0000 0.0000 0.0000 (multiplicity 4)  6 F 2.23
F 0.0000 0.0000 0.2336 (multiplicity 24)  1 Ca 2.23, 4 Na 2.39
F 0.2500 0.2500 0.2500 (multiplicity 8)  6 Na 2.38


Record 9
Na3CaF6 | PBE | optimized geometry

Computed properties:
Fermi-level density of states = 13.59 states/eV/cell
Density = 2.54 Mg/m³
Formation energy without anion corrections = -27.5 eV/f.u.

Cell: 5.9151 6.1216 9.8743 Å, 90.00 125.47 90.00°
Last column: nearest neighbours and their distance in Å.
Space group P2_1/c (No. 14)
Symmetry-distinct sites (fractional):
Na 0.0000 0.0000 0.0000 (multiplicity 2)  6 F 2.27-2.39
Na 0.2251 0.0589 0.7437 (multiplicity 4)  5 F 2.31-2.52
Ca 0.5000 0.0000 0.5000 (multiplicity 2)  6 F 2.25-2.27
F 0.1196 0.2005 0.4191 (multiplicity 4)  1 Ca 2.26, 2 Na 2.27-2.34
F 0.2075 0.7090 0.4056 (multiplicity 4)  1 Ca 2.27, 3 Na 2.31-2.52
F 0.4220 0.1025 0.2571 (multiplicity 4)  1 Ca 2.25, 3 Na 2.31-2.39


Record 10
Na4CaF6 | PBE | optimized geometry

Computed properties:
Fermi-level density of states = 0.00 states/eV/cell
Density = 2.42 Mg/m³
Formation energy without anion corrections = -32.3 eV/f.u.

Cell: 9.9331 9.9331 11.8300 Å, 90.00 90.00 120.00°
Last column: nearest neighbours and their distance in Å.
Space group R-3c (No. 167, hexagonal axes)
Symmetry-distinct sites (fractional):
Na 0.0000 0.0000 0.2500 (multiplicity 6)  6 F 2.40
Na 0.0000 0.3268 0.2500 (multiplicity 18)  4 F 2.27-2.46
Ca 0.0000 0.0000 0.0000 (multiplicity 6)  6 F 2.22
F 0.0499 0.1977 0.3867 (multiplicity 36)  1 Ca 2.22, 3 Na 2.27-2.46